Density functional theory data (PBE-GGA) for a relaxed ScPd2Au2 crystal. Values from VASP.

The structure in Quantum ESPRESSO input format:
```
&SYSTEM
  ibrav = 0, nat = 10, ntyp = 3
/
ATOMIC_SPECIES
Sc 44.96 Sc.upf
Au 196.97 Au.upf
Pd 106.42 Pd.upf
CELL_PARAMETERS angstrom
-4.0146 -5.1842 2.7406
5.3768 -1.9287 4.2277
-1.2002 2.2883 2.5704
ATOMIC_POSITIONS crystal
Sc 0.0000 0.0000 0.0000
Sc 0.5000 0.5000 0.0000
Au 0.3614 0.8614 0.0000
Au 0.8614 0.6386 0.0000
Au 0.6386 0.1386 0.0000
Au 0.1386 0.3614 0.0000
Pd 0.1603 0.6603 0.5000
Pd 0.6603 0.8397 0.5000
Pd 0.8397 0.3397 0.5000
Pd 0.3397 0.1603 0.5000
```

Calculated values
D(E_F) = 4.35 states/eV/cell
V = 18.407 Å³/atom
ΔH_f (0 K) = -0.381 eV/atom

Density functional theory data (PBE-GGA) for a relaxed ScPd4Au crystal. Values from VASP.

The structure in Quantum ESPRESSO input format:
```
&SYSTEM
  ibrav = 0, nat = 12, ntyp = 3
/
ATOMIC_SPECIES
Sc 44.96 Sc.upf
Pd 106.42 Pd.upf
Au 196.97 Au.upf
CELL_PARAMETERS angstrom
-1.5783 3.2637 1.6520
-2.6459 0.2870 -3.0949
-7.8873 -9.2256 5.8874
ATOMIC_POSITIONS crystal
Sc 0.8275 0.7389 0.6549
Sc 0.1725 0.2389 0.3451
Pd 0.8967 0.2389 0.7933
Pd 0.1033 0.7389 0.2067
Pd 0.3978 0.7389 0.7955
Pd 0.6022 0.2389 0.2045
Pd 0.6769 0.7389 0.3539
Pd 0.3231 0.2389 0.6461
Pd 0.7496 0.2389 0.4993
Pd 0.2504 0.7389 0.5007
Au 0.5325 0.7389 0.0649
Au 0.4675 0.2389 0.9351
```

Calculated values
D(E_F) = 8.70 states/eV/cell
V = 18.081 Å³/atom
ΔH_f (0 K) = -0.447 eV/atom

Density functional theory data (PBE-GGA) for a relaxed Sc2Pd4Au crystal. Values from VASP.

The structure in Quantum ESPRESSO input format:
```
&SYSTEM
  ibrav = 0, nat = 7, ntyp = 3
/
ATOMIC_SPECIES
Sc 44.96 Sc.upf
Pd 106.42 Pd.upf
Au 196.97 Au.upf
CELL_PARAMETERS angstrom
3.6357 0.0000 -0.9114
-0.2285 3.6286 -0.9114
0.4696 0.5001 9.5811
ATOMIC_POSITIONS crystal
Sc 0.6042 0.6042 0.2084
Sc 0.3958 0.3958 0.7916
Pd 0.1430 0.1430 0.2861
Pd 0.8570 0.8570 0.7139
Pd 0.7500 0.2500 0.5000
Pd 0.2500 0.7500 0.5000
Au 0.0000 0.0000 0.0000
```

Calculated values
D(E_F) = 3.54 states/eV/cell
V = 18.530 Å³/atom
ΔH_f (0 K) = -0.566 eV/atom